Run P
ZnCoPbW: optimized geometry, PBE-GGA.

POSCAR file:
```
ZnCoPbW
1.0
0.000 3.200 3.200
3.200 0.000 3.200
3.200 3.200 0.000
Zn W Co Pb
1 1 1 1
Cartesian
1.600 1.600 1.600
3.200 3.200 3.200
4.799 4.799 4.799
0.000 0.000 0.000
```

M_tot: 1.73 μB per cell

Run Q
ZnCoPbW: optimized geometry, PBE-GGA.

POSCAR file:
```
ZnCoPbW
1.0
-1.401 -3.337 -2.722
-3.734 0.539 -2.506
0.335 0.452 -4.494
Zn W Co Pb
1 1 1 1
Cartesian
-2.400 -1.173 -4.861
-1.200 -0.587 -2.431
-3.600 -1.760 -7.292
0.000 0.000 0.000
```

M_tot: 2.06 μB per cell

Which one is the most stable? From the structures above, run P.